Entry 1:
DFT (GGA-PBE) results for a geometry-optimized AcLa2PmTm5 structure. Values from VASP.

The structure in Quantum ESPRESSO input format:
```
&SYSTEM
  ibrav = 0, nat = 18, ntyp = 4
/
ATOMIC_SPECIES
Ac 227.00 Ac.upf
La 138.91 La.upf
Pm 145.00 Pm.upf
Tm 168.93 Tm.upf
CELL_PARAMETERS angstrom
-4.383 4.383 7.915
4.383 -4.383 7.915
4.383 4.383 -7.915
ATOMIC_POSITIONS crystal
Ac 0.250 0.250 0.000
Ac 0.750 0.750 0.000
La 0.117 0.617 0.734
La 0.383 0.117 0.500
La 0.617 0.883 0.500
La 0.883 0.383 0.266
Pm 0.250 0.750 0.500
Pm 0.750 0.250 0.500
Tm 0.000 0.000 0.000
Tm 0.075 0.153 0.500
Tm 0.153 0.653 0.078
Tm 0.347 0.425 0.500
Tm 0.425 0.925 0.078
Tm 0.500 0.500 0.000
Tm 0.575 0.075 0.922
Tm 0.653 0.575 0.500
Tm 0.847 0.347 0.922
Tm 0.925 0.847 0.500
```

## Properties
E_form ... 0.25 eV/atom

***

Entry 2:
DFT (GGA-PBE) results for a geometry-optimized AcTmTl3 structure. Values from VASP.

The structure in Quantum ESPRESSO input format:
```
&SYSTEM
  ibrav = 0, nat = 10, ntyp = 3
/
ATOMIC_SPECIES
Ac 227.00 Ac.upf
Tm 168.93 Tm.upf
Tl 204.38 Tl.upf
CELL_PARAMETERS angstrom
9.380 -2.597 0.000
9.380 2.597 0.000
-1.229 0.000 6.505
ATOMIC_POSITIONS crystal
Ac 0.089 0.089 0.317
Ac 0.911 0.911 0.683
Tm 0.289 0.289 0.164
Tm 0.711 0.711 0.836
Tl 0.125 0.125 0.842
Tl 0.282 0.282 0.655
Tl 0.471 0.471 0.236
Tl 0.529 0.529 0.764
Tl 0.718 0.718 0.345
Tl 0.875 0.875 0.158
```

## Properties
E_form ... -0.25 eV/atom

***

Entry 3:
DFT (GGA-PBE) results for a geometry-optimized YZr3 structure. Values from VASP.

The structure in Quantum ESPRESSO input format:
```
&SYSTEM
  ibrav = 0, nat = 8, ntyp = 2
/
ATOMIC_SPECIES
Y 88.91 Y.upf
Zr 91.22 Zr.upf
CELL_PARAMETERS angstrom
3.556 -5.454 0.000
3.556 5.454 0.000
0.000 0.000 5.218
ATOMIC_POSITIONS crystal
Y 0.132 0.868 0.750
Y 0.868 0.132 0.250
Zr 0.203 0.386 0.750
Zr 0.323 0.677 0.250
Zr 0.386 0.203 0.250
Zr 0.614 0.797 0.750
Zr 0.677 0.323 0.750
Zr 0.797 0.614 0.250
```

## Properties
Distance to the lowest polymorph of the same formula ... 0.07 eV per formula unit
E_form ... 0.07 eV/atom

***

Entry 4:
DFT (GGA-PBE) results for a geometry-optimized Hg2HBr5 structure. Values from VASP.

The structure in Quantum ESPRESSO input format:
```
&SYSTEM
  ibrav = 0, nat = 8, ntyp = 3
/
ATOMIC_SPECIES
Hg 200.59 Hg.upf
H 1.01 H.upf
Br 79.90 Br.upf
CELL_PARAMETERS angstrom
4.476 -4.205 0.000
4.476 4.205 0.000
-0.277 0.000 10.626
ATOMIC_POSITIONS crystal
Hg 0.000 0.000 0.000
Hg 0.557 0.557 0.566
H 0.901 0.901 0.378
Br 0.267 0.846 0.574
Br 0.291 0.713 0.997
Br 0.713 0.291 0.997
Br 0.778 0.778 0.287
Br 0.846 0.267 0.574
```

***

| no. | uncorrected energy (eV/cell) | Fermi-level density of states (states/eV/atom) | magnetization (μB per formula unit) |
| --- | --- | --- | --- |
| 1 | -77.73 | 1.157 | 0.000 |
| 2 | -33.91 | 0.512 | 0.000 |
| 3 | -63.66 | 1.092 | 0.000 |
| 4 | -15.09 | 0.000 | 0.000 |